[1]
DFT (PBE) results for RbGa after structural relaxation.

a b c (Å): 12.8386 12.8386 4.6280
angles (deg): 90.00 90.00 90.00
With the nearest neighbours (Å) after each atom.
Atoms (fractional coordinates):
Rb 0.0207 0.2370 0.0000  4 Ga 3.51-3.87
Rb 0.2370 0.9793 0.0000  4 Ga 3.51-3.87
Rb 0.3004 0.6581 0.5000  4 Ga 3.74-3.93
Rb 0.3419 0.3004 0.5000  4 Ga 3.74-3.93
Rb 0.6581 0.6996 0.5000  4 Ga 3.74-3.93
Rb 0.6996 0.3419 0.5000  4 Ga 3.74-3.93
Rb 0.7630 0.0207 0.0000  4 Ga 3.51-3.87
Rb 0.9793 0.7630 0.0000  4 Ga 3.51-3.87
Ga 0.0862 0.4395 0.5000  3 Ga 2.58-2.70
Ga 0.1126 0.5240 0.0000  2 Ga 2.58
Ga 0.4395 0.9138 0.5000  3 Ga 2.58-2.70
Ga 0.4760 0.1126 0.0000  2 Ga 2.58
Ga 0.5240 0.8874 0.0000  2 Ga 2.58
Ga 0.5605 0.0862 0.5000  3 Ga 2.58-2.70
Ga 0.8874 0.4760 0.0000  2 Ga 2.58
Ga 0.9138 0.5605 0.5000  3 Ga 2.58-2.70

space-group type: No. 83

---

[2]
DFT (PBE) results for RbGa after structural relaxation.

a b c (Å): 5.1623 5.1623 5.1623
angles (deg): 60.00 60.00 60.00
With the nearest neighbours (Å) after each atom.
Atoms (fractional coordinates):
Rb 0.0000 0.0000 0.0000  6 Ga 3.65
Ga 0.5000 0.5000 0.5000  6 Rb 3.65

space-group type: No. 225

---

[3]
DFT (PBE) results for RbGa after structural relaxation.

a b c (Å): 6.8001 15.4670 4.6924
angles (deg): 90.00 90.00 90.00
With the nearest neighbours (Å) after each atom.
Atoms (fractional coordinates):
Rb 0.2500 0.0158 0.2334  2 Ga 3.59-3.64
Rb 0.2500 0.2500 0.6864  2 Ga 3.43
Rb 0.2500 0.4842 0.2334  2 Ga 3.59-3.64
Rb 0.7500 0.5158 0.7666  2 Ga 3.59-3.64
Rb 0.7500 0.7500 0.3136  2 Ga 3.43
Rb 0.7500 0.9842 0.7666  2 Ga 3.59-3.64
Ga 0.2500 0.6621 0.7258  3 Ga 2.68-2.74
Ga 0.2500 0.7500 0.2186  4 Ga 2.68-2.74
Ga 0.2500 0.8379 0.7258  3 Ga 2.68-2.74
Ga 0.7500 0.1621 0.2742  3 Ga 2.68-2.74
Ga 0.7500 0.2500 0.7814  4 Ga 2.68-2.74
Ga 0.7500 0.3379 0.2742  3 Ga 2.68-2.74

space-group type: No. 59

---

[4]
DFT (PBE) results for RbGa6 after structural relaxation.

a b c (Å): 6.2784 6.2784 6.2784
angles (deg): 109.47 109.47 109.47
With the nearest neighbours (Å) after each atom.
Atoms (fractional coordinates):
Rb 0.0000 0.0000 0.0000  24 Ga 4.05
Ga 0.2500 0.5000 0.7500  4 Ga 2.56
Ga 0.2500 0.7500 0.5000  4 Ga 2.56
Ga 0.5000 0.2500 0.7500  4 Ga 2.56
Ga 0.5000 0.7500 0.2500  4 Ga 2.56
Ga 0.7500 0.2500 0.5000  4 Ga 2.56
Ga 0.7500 0.5000 0.2500  4 Ga 2.56

space-group type: No. 229

---

| no. | E_form (meV per atom) | V (Å³ per cell) | total moment (μB/cell) |
| --- | --- | --- | --- |
| 1 | 1 | 763 | 0.00 |
| 2 | 478 | 97 | 0.00 |
| 3 | 2 | 494 | 0.00 |
| 4 | 2 | 191 | 0.00 |